[1]
# MgInHg4 PBE optimized geometry
data_MgInHg4
_chemical_formula_sum 'Mg1 In1 Hg4'
_space_group_name_H-M_alt 'P 1 2/m 1'
_space_group_IT_number 10
_cell_length_a 6.420
_cell_length_b 3.490
_cell_length_c 6.717
_cell_angle_alpha 90.00
_cell_angle_beta 91.53
_cell_angle_gamma 90.00
loop_
_space_group_symop_operation_xyz
'x,y,z'
'-x,-y,-z'
'-x,y,-z'
'x,-y,z'
loop_
_atom_site_label
_atom_site_type_symbol
_atom_site_fract_x
_atom_site_fract_y
_atom_site_fract_z
Mg1 Mg 0.000 0.000 0.000
In1 In 0.500 0.500 0.000
Hg1 Hg 0.151 0.500 0.685
Hg2 Hg 0.320 0.000 0.342
# ΔE_f: -0.04 eV/atom
# calculated volume: 25.07 A^3/atom
# total magnetization: 0.00 μB per cell



[2]
# MgIn8Hg6 PBE optimized geometry
data_MgIn8Hg6
_chemical_formula_sum 'Mg3 In24 Hg18'
_space_group_name_H-M_alt 'R -3'
_space_group_IT_number 148
_space_group_name_Hall '-R 3'
_cell_length_a 8.4446
_cell_length_b 8.4446
_cell_length_c 20.2857
_cell_angle_alpha 90.00
_cell_angle_beta 90.00
_cell_angle_gamma 120.00
loop_
_atom_site_label
_atom_site_type_symbol
_atom_site_fract_x
_atom_site_fract_y
_atom_site_fract_z
Mg1 Mg 0.0000 0.0000 0.0000
In1 In 0.0000 0.0000 0.3341
In2 In 0.0042 0.3436 0.1161
Hg1 Hg 0.0046 0.3240 0.9362
# ΔE_f: 0.01 eV/atom
# calculated volume: 27.84 A^3/atom
# total magnetization: 0.00 μB per cell



[3]
# Mg2InHg PBE optimized geometry
data_Mg2InHg
_chemical_formula_sum 'Mg8 In4 Hg4'
_space_group_name_H-M_alt 'I -4 2 d'
_space_group_IT_number 122
_space_group_name_Hall 'I -4 2bw'
_cell_length_a 8.108
_cell_length_b 8.108
_cell_length_c 6.182
_cell_angle_alpha 90.00
_cell_angle_beta 90.00
_cell_angle_gamma 90.00
loop_
_atom_site_label
_atom_site_type_symbol
_atom_site_fract_x
_atom_site_fract_y
_atom_site_fract_z
Mg1 Mg 0.232 0.250 0.125
In1 In 0.000 0.000 0.500
Hg1 Hg 0.000 0.000 0.000
# ΔE_f: 0.02 eV/atom
# calculated volume: 25.40 A^3/atom
# total magnetization: 0.00 μB per cell



[4]
# MgIn2Hg PBE optimized geometry
data_MgIn2Hg
_chemical_formula_sum 'Mg2 In4 Hg2'
_space_group_name_H-M_alt 'C 1 m 1'
_space_group_IT_number 8
_cell_length_a 5.657
_cell_length_b 3.623
_cell_length_c 9.968
_cell_angle_alpha 90.00
_cell_angle_beta 99.62
_cell_angle_gamma 90.00
loop_
_space_group_symop_operation_xyz
'x,y,z'
'x,-y,z'
'x+1/2,y+1/2,z'
'x+1/2,-y+1/2,z'
loop_
_atom_site_label
_atom_site_type_symbol
_atom_site_fract_x
_atom_site_fract_y
_atom_site_fract_z
Mg1 Mg 0.000 0.000 0.000
In1 In 0.080 0.500 0.751
In2 In 0.427 0.000 0.248
Hg1 Hg 0.150 0.000 0.499
# ΔE_f: 0.00 eV/atom
# calculated volume: 25.18 A^3/atom
# total magnetization: 0.00 μB per cell



[5]
# MgIn2Hg PBE optimized geometry
data_MgIn2Hg
_chemical_formula_sum 'Mg3 In6 Hg3'
_space_group_name_H-M_alt 'R -3 m'
_space_group_IT_number 166
_space_group_name_Hall '-R 3 2"'
_cell_length_a 3.4020
_cell_length_b 3.4020
_cell_length_c 29.6049
_cell_angle_alpha 90.00
_cell_angle_beta 90.00
_cell_angle_gamma 120.00
loop_
_atom_site_label
_atom_site_type_symbol
_atom_site_fract_x
_atom_site_fract_y
_atom_site_fract_z
Mg1 Mg 0.0000 0.0000 0.0000
In1 In 0.0000 0.0000 0.2512
Hg1 Hg 0.0000 0.0000 0.5000
# ΔE_f: -0.04 eV/atom
# calculated volume: 24.73 A^3/atom
# total magnetization: 0.00 μB per cell



[6]
# MgIn2Hg PBE optimized geometry
data_MgIn2Hg
_chemical_formula_sum 'Mg2 In4 Hg2'
_space_group_name_H-M_alt 'C m m m'
_space_group_IT_number 65
_space_group_name_Hall '-C 2 2'
_cell_length_a 6.087
_cell_length_b 9.614
_cell_length_c 3.379
_cell_angle_alpha 90.00
_cell_angle_beta 90.00
_cell_angle_gamma 90.00
loop_
_atom_site_label
_atom_site_type_symbol
_atom_site_fract_x
_atom_site_fract_y
_atom_site_fract_z
Mg1 Mg 0.000 0.000 0.000
In1 In 0.250 0.250 0.500
Hg1 Hg 0.000 0.500 0.000
# ΔE_f: -0.04 eV/atom
# calculated volume: 24.72 A^3/atom
# total magnetization: 0.00 μB per cell



[7]
# Mg2InHg PBE optimized geometry
data_Mg2InHg
_chemical_formula_sum 'Mg2 In1 Hg1'
_space_group_name_H-M_alt 'P 1 2/m 1'
_space_group_IT_number 10
_cell_length_a 3.314
_cell_length_b 4.080
_cell_length_c 6.625
_cell_angle_alpha 90.00
_cell_angle_beta 91.00
_cell_angle_gamma 90.00
loop_
_space_group_symop_operation_xyz
'x,y,z'
'-x,-y,-z'
'-x,y,-z'
'x,-y,z'
loop_
_atom_site_label
_atom_site_type_symbol
_atom_site_fract_x
_atom_site_fract_y
_atom_site_fract_z
Mg1 Mg 0.001 0.000 0.260
In1 In 0.500 0.500 0.000
Hg1 Hg 0.500 0.500 0.500
# ΔE_f: -0.14 eV/atom
# calculated volume: 22.39 A^3/atom
# total magnetization: 0.00 μB per cell



[8]
# Mg2In9Hg PBE optimized geometry
data_Mg2In9Hg
_chemical_formula_sum 'Mg2 In9 Hg1'
_space_group_name_H-M_alt 'P 4/m m m'
_space_group_IT_number 123
_space_group_name_Hall '-P 4 2'
_cell_length_a 4.672
_cell_length_b 4.672
_cell_length_c 14.087
_cell_angle_alpha 90.00
_cell_angle_beta 90.00
_cell_angle_gamma 90.00
loop_
_atom_site_label
_atom_site_type_symbol
_atom_site_fract_x
_atom_site_fract_y
_atom_site_fract_z
Mg1 Mg 0.000 0.000 0.164
In1 In 0.000 0.500 0.000
In2 In 0.000 0.500 0.328
In3 In 0.500 0.500 0.162
In4 In 0.500 0.500 0.500
Hg1 Hg 0.000 0.000 0.500
# ΔE_f: -0.01 eV/atom
# calculated volume: 25.62 A^3/atom
# total magnetization: 0.00 μB per cell



[9]
# Mg2InHg7 PBE optimized geometry
data_Mg2InHg7
_chemical_formula_sum 'Mg4 In2 Hg14'
_space_group_name_H-M_alt 'I 4/m m m'
_space_group_IT_number 139
_space_group_name_Hall '-I 4 2'
_cell_length_a 4.554
_cell_length_b 4.554
_cell_length_c 25.126
_cell_angle_alpha 90.00
_cell_angle_beta 90.00
_cell_angle_gamma 90.00
loop_
_atom_site_label
_atom_site_type_symbol
_atom_site_fract_x
_atom_site_fract_y
_atom_site_fract_z
Mg1 Mg 0.000 0.000 0.175
In1 In 0.000 0.000 0.500
Hg1 Hg 0.000 0.000 0.000
Hg2 Hg 0.000 0.500 0.101
Hg3 Hg 0.000 0.500 0.250
# ΔE_f: -0.04 eV/atom
# calculated volume: 26.05 A^3/atom
# total magnetization: 0.00 μB per cell



[10]
# Mg4InHg PBE optimized geometry
data_Mg4InHg
_chemical_formula_sum 'Mg8 In2 Hg2'
_space_group_name_H-M_alt 'C 1 2/m 1'
_space_group_IT_number 12
_cell_length_a 8.224
_cell_length_b 4.746
_cell_length_c 8.330
_cell_angle_alpha 90.00
_cell_angle_beta 109.13
_cell_angle_gamma 90.00
loop_
_space_group_symop_operation_xyz
'x,y,z'
'-x,-y,-z'
'-x,y,-z'
'x,-y,z'
'x+1/2,y+1/2,z'
'-x+1/2,-y+1/2,-z'
'-x+1/2,y+1/2,-z'
'x+1/2,-y+1/2,z'
loop_
_atom_site_label
_atom_site_type_symbol
_atom_site_fract_x
_atom_site_fract_y
_atom_site_fract_z
Mg1 Mg 0.122 0.000 0.367
Mg2 Mg 0.126 0.500 0.877
In1 In 0.000 0.500 0.500
Hg1 Hg 0.000 0.000 0.000
# ΔE_f: -0.07 eV/atom
# calculated volume: 25.60 A^3/atom
# total magnetization: 0.00 μB per cell



[11]
# Mg8In3Hg3 PBE optimized geometry
data_Mg8In3Hg3
_chemical_formula_sum 'Mg16 In6 Hg6'
_space_group_name_H-M_alt 'C 1 2/m 1'
_space_group_IT_number 12
_cell_length_a 18.474
_cell_length_b 8.309
_cell_length_c 4.924
_cell_angle_alpha 90.00
_cell_angle_beta 105.16
_cell_angle_gamma 90.00
loop_
_space_group_symop_operation_xyz
'x,y,z'
'-x,-y,-z'
'-x,y,-z'
'x,-y,z'
'x+1/2,y+1/2,z'
'-x+1/2,-y+1/2,-z'
'-x+1/2,y+1/2,-z'
'x+1/2,-y+1/2,z'
loop_
_atom_site_label
_atom_site_type_symbol
_atom_site_fract_x
_atom_site_fract_y
_atom_site_fract_z
Mg1 Mg 0.115 0.238 0.117
Mg2 Mg 0.205 0.317 0.706
In1 In 0.000 0.000 0.000
In2 In 0.000 0.240 0.500
Hg1 Hg 0.000 0.500 0.000
Hg2 Hg 0.227 0.500 0.227
# ΔE_f: 0.03 eV/atom
# calculated volume: 26.05 A^3/atom
# total magnetization: 0.00 μB per cell



[12]
# Mg2In2Hg PBE optimized geometry
data_Mg2In2Hg
_chemical_formula_sum 'Mg4 In4 Hg2'
_space_group_name_H-M_alt 'C m m m'
_space_group_IT_number 65
_space_group_name_Hall '-C 2 2'
_cell_length_a 3.299
_cell_length_b 21.734
_cell_length_c 3.280
_cell_angle_alpha 90.00
_cell_angle_beta 90.00
_cell_angle_gamma 90.00
loop_
_atom_site_label
_atom_site_type_symbol
_atom_site_fract_x
_atom_site_fract_y
_atom_site_fract_z
Mg1 Mg 0.000 0.088 0.000
In1 In 0.000 0.312 0.500
Hg1 Hg 0.000 0.500 0.500
# ΔE_f: -0.12 eV/atom
# calculated volume: 23.52 A^3/atom
# total magnetization: 0.00 μB per cell



[13]
# MgIn3Hg6 PBE optimized geometry
data_MgIn3Hg6
_chemical_formula_sum 'Mg2 In6 Hg12'
_space_group_name_H-M_alt 'P -1'
_space_group_IT_number 2
_cell_length_a 3.238
_cell_length_b 12.606
_cell_length_c 12.864
_cell_angle_alpha 80.57
_cell_angle_beta 89.52
_cell_angle_gamma 82.64
loop_
_space_group_symop_operation_xyz
'x,y,z'
'-x,-y,-z'
loop_
_atom_site_label
_atom_site_type_symbol
_atom_site_fract_x
_atom_site_fract_y
_atom_site_fract_z
Mg1 Mg 0.120 0.265 0.341
In1 In 0.077 0.329 0.718
In2 In 0.209 0.117 0.971
In3 In 0.457 0.571 0.844
Hg1 Hg 0.041 0.362 0.948
Hg2 Hg 0.263 0.923 0.235
Hg3 Hg 0.277 0.952 0.603
Hg4 Hg 0.330 0.822 0.834
Hg5 Hg 0.364 0.770 0.457
Hg6 Hg 0.473 0.538 0.606
# ΔE_f: -0.02 eV/atom
# calculated volume: 25.69 A^3/atom
# total magnetization: 0.00 μB per cell



[14]
# Mg2In4Hg3 PBE optimized geometry
data_Mg2In4Hg3
_chemical_formula_sum 'Mg2 In4 Hg3'
_space_group_name_H-M_alt 'P -6 2 m'
_space_group_IT_number 189
_space_group_name_Hall 'P -6 -2'
_cell_length_a 8.5633
_cell_length_b 8.5633
_cell_length_c 3.5873
_cell_angle_alpha 90.00
_cell_angle_beta 90.00
_cell_angle_gamma 120.00
loop_
_atom_site_label
_atom_site_type_symbol
_atom_site_fract_x
_atom_site_fract_y
_atom_site_fract_z
Mg1 Mg 0.3333 0.6667 0.0000
In1 In 0.0000 0.0000 0.5000
In2 In 0.0000 0.7094 0.0000
Hg1 Hg 0.0000 0.3931 0.5000
# ΔE_f: -0.01 eV/atom
# calculated volume: 25.31 A^3/atom
# total magnetization: 0.00 μB per cell



[15]
# MgIn3Hg12 PBE optimized geometry
data_MgIn3Hg12
_chemical_formula_sum 'Mg1 In3 Hg12'
_space_group_name_H-M_alt 'P 4/m m m'
_space_group_IT_number 123
_space_group_name_Hall '-P 4 2'
_cell_length_a 4.396
_cell_length_b 4.396
_cell_length_c 21.413
_cell_angle_alpha 90.00
_cell_angle_beta 90.00
_cell_angle_gamma 90.00
loop_
_atom_site_label
_atom_site_type_symbol
_atom_site_fract_x
_atom_site_fract_y
_atom_site_fract_z
Mg1 Mg 0.000 0.000 0.000
In1 In 0.000 0.000 0.230
In2 In 0.000 0.000 0.500
Hg1 Hg 0.000 0.500 0.114
Hg2 Hg 0.000 0.500 0.371
Hg3 Hg 0.500 0.500 0.000
Hg4 Hg 0.500 0.500 0.252
Hg5 Hg 0.500 0.500 0.500
# ΔE_f: -0.02 eV/atom
# calculated volume: 25.86 A^3/atom
# total magnetization: 0.00 μB per cell



[16]
# Mg4In2Hg3 PBE optimized geometry
data_Mg4In2Hg3
_chemical_formula_sum 'Mg4 In2 Hg3'
_space_group_name_H-M_alt 'P -1'
_space_group_IT_number 2
_cell_length_a 4.949
_cell_length_b 5.002
_cell_length_c 9.905
_cell_angle_alpha 78.52
_cell_angle_beta 79.21
_cell_angle_gamma 61.62
loop_
_space_group_symop_operation_xyz
'x,y,z'
'-x,-y,-z'
loop_
_atom_site_label
_atom_site_type_symbol
_atom_site_fract_x
_atom_site_fract_y
_atom_site_fract_z
Mg1 Mg 0.050 0.046 0.169
Mg2 Mg 0.317 0.316 0.594
In1 In 0.370 0.367 0.267
Hg1 Hg 0.000 0.000 0.500
Hg2 Hg 0.270 0.275 0.899
# ΔE_f: -0.12 eV/atom
# calculated volume: 23.35 A^3/atom
# total magnetization: 0.00 μB per cell



[17]
# Mg12In6Hg PBE optimized geometry
data_Mg12In6Hg
_chemical_formula_sum 'Mg36 In18 Hg3'
_space_group_name_H-M_alt 'R -3'
_space_group_IT_number 148
_space_group_name_Hall '-R 3'
_cell_length_a 11.0082
_cell_length_b 11.0082
_cell_length_c 13.0248
_cell_angle_alpha 90.00
_cell_angle_beta 90.00
_cell_angle_gamma 120.00
loop_
_atom_site_label
_atom_site_type_symbol
_atom_site_fract_x
_atom_site_fract_y
_atom_site_fract_z
Mg1 Mg 0.0339 0.8502 0.3172
Mg2 Mg 0.0626 0.2164 0.9138
In1 In 0.0090 0.5805 0.2007
Hg1 Hg 0.0000 0.0000 0.5000
# ΔE_f: -0.02 eV/atom
# calculated volume: 23.98 A^3/atom
# total magnetization: 0.00 μB per cell



[18]
# Mg12In5Hg2 PBE optimized geometry
data_Mg12In5Hg2
_chemical_formula_sum 'Mg24 In10 Hg4'
_space_group_name_H-M_alt 'C 1 2/m 1'
_space_group_IT_number 12
_cell_length_a 16.537
_cell_length_b 6.239
_cell_length_c 9.865
_cell_angle_alpha 90.00
_cell_angle_beta 105.52
_cell_angle_gamma 90.00
loop_
_space_group_symop_operation_xyz
'x,y,z'
'-x,-y,-z'
'-x,y,-z'
'x,-y,z'
'x+1/2,y+1/2,z'
'-x+1/2,-y+1/2,-z'
'-x+1/2,y+1/2,-z'
'x+1/2,-y+1/2,z'
loop_
_atom_site_label
_atom_site_type_symbol
_atom_site_fract_x
_atom_site_fract_y
_atom_site_fract_z
Mg1 Mg 0.015 0.000 0.344
Mg2 Mg 0.098 0.500 0.293
Mg3 Mg 0.151 0.247 0.610
Mg4 Mg 0.193 0.253 0.114
In1 In 0.000 0.500 0.500
In2 In 0.146 0.000 0.862
In3 In 0.195 0.000 0.377
Hg1 Hg 0.000 0.251 0.000
# ΔE_f: 0.02 eV/atom
# calculated volume: 25.81 A^3/atom
# total magnetization: 0.00 μB per cell



[19]
# MgIn4Hg4 PBE optimized geometry
data_MgIn4Hg4
_chemical_formula_sum 'Mg2 In8 Hg8'
_space_group_name_H-M_alt 'I 4/m'
_space_group_IT_number 87
_space_group_name_Hall '-I 4'
_cell_length_a 9.036
_cell_length_b 9.036
_cell_length_c 5.735
_cell_angle_alpha 90.00
_cell_angle_beta 90.00
_cell_angle_gamma 90.00
loop_
_atom_site_label
_atom_site_type_symbol
_atom_site_fract_x
_atom_site_fract_y
_atom_site_fract_z
Mg1 Mg 0.000 0.000 0.000
In1 In 0.118 0.788 0.500
Hg1 Hg 0.041 0.674 0.000
# ΔE_f: 0.01 eV/atom
# calculated volume: 26.01 A^3/atom
# total magnetization: 0.00 μB per cell



[20]
# Mg2In5Hg PBE optimized geometry
data_Mg2In5Hg
_chemical_formula_sum 'Mg8 In20 Hg4'
_space_group_name_H-M_alt 'C m c m'
_space_group_IT_number 63
_space_group_name_Hall '-C 2c 2'
_cell_length_a 3.504
_cell_length_b 12.330
_cell_length_c 18.656
_cell_angle_alpha 90.00
_cell_angle_beta 90.00
_cell_angle_gamma 90.00
loop_
_atom_site_label
_atom_site_type_symbol
_atom_site_fract_x
_atom_site_fract_y
_atom_site_fract_z
Mg1 Mg 0.000 0.225 0.138
In1 In 0.000 0.039 0.615
In2 In 0.000 0.364 0.514
In3 In 0.000 0.444 0.750
Hg1 Hg 0.000 0.187 0.750
# ΔE_f: -0.04 eV/atom
# calculated volume: 25.19 A^3/atom
# total magnetization: 0.00 μB per cell